Entry 1:
# Na2YBi2 PBE relaxed
data_Na2YBi2
_space_group_name_H-M_alt 'I 4/m m m'
_space_group_IT_number 139
_space_group_name_Hall '-I 4 2'
_cell_length_a 5.694
_cell_length_b 5.694
_cell_length_c 9.317
_cell_angle_alpha 90.00
_cell_angle_beta 90.00
_cell_angle_gamma 90.00
loop_
_atom_site_label
_atom_site_type_symbol
_atom_site_fract_x
_atom_site_fract_y
_atom_site_fract_z
Na1 Na 0.000 0.000 0.140
Y1 Y 0.000 0.000 0.500
Bi1 Bi 0.000 0.500 0.250
# offset from the most stable computed form = 0.227 eV per atom
# E_form = -0.103 eV/atom


Entry 2:
# NaYBi2 PBE relaxed
data_NaYBi2
_space_group_name_H-M_alt 'F m -3 m'
_space_group_IT_number 225
_space_group_name_Hall '-F 4 2 3'
_cell_length_a 7.795
_cell_length_b 7.795
_cell_length_c 7.795
_cell_angle_alpha 90.00
_cell_angle_beta 90.00
_cell_angle_gamma 90.00
loop_
_atom_site_label
_atom_site_type_symbol
_atom_site_fract_x
_atom_site_fract_y
_atom_site_fract_z
Na1 Na 0.000 0.000 0.000
Y1 Y 0.000 0.000 0.500
Bi1 Bi 0.250 0.250 0.250
# offset from the most stable computed form = 0.075 eV per atom
# E_form = -0.425 eV/atom


Entry 3:
# NaYBi2 PBE relaxed
data_NaYBi2
_space_group_name_H-M_alt 'P 4/m m m'
_space_group_IT_number 123
_space_group_name_Hall '-P 4 2'
_cell_length_a 5.188
_cell_length_b 5.188
_cell_length_c 4.304
_cell_angle_alpha 90.00
_cell_angle_beta 90.00
_cell_angle_gamma 90.00
loop_
_atom_site_label
_atom_site_type_symbol
_atom_site_fract_x
_atom_site_fract_y
_atom_site_fract_z
Na1 Na 0.000 0.000 0.000
Y1 Y 0.500 0.500 0.000
Bi1 Bi 0.000 0.500 0.500
# offset from the most stable computed form = 0.017 eV per atom
# E_form = -0.483 eV/atom


Entry 4:
# NaY3Bi PBE relaxed
data_NaY3Bi
_space_group_name_H-M_alt 'P m -3 m'
_space_group_IT_number 221
_space_group_name_Hall '-P 4 2 3'
_cell_length_a 5.914
_cell_length_b 5.914
_cell_length_c 5.914
_cell_angle_alpha 90.00
_cell_angle_beta 90.00
_cell_angle_gamma 90.00
loop_
_atom_site_label
_atom_site_type_symbol
_atom_site_fract_x
_atom_site_fract_y
_atom_site_fract_z
Na1 Na 0.000 0.000 0.000
Y1 Y 0.000 0.500 0.500
Bi1 Bi 0.500 0.500 0.500
# offset from the most stable computed form = 0.000 eV per atom
# E_form = 0.271 eV/atom


Entry 5:
# Na3YBi PBE relaxed
data_Na3YBi
_space_group_name_H-M_alt 'P m -3 m'
_space_group_IT_number 221
_space_group_name_Hall '-P 4 2 3'
_cell_length_a 5.878
_cell_length_b 5.878
_cell_length_c 5.878
_cell_angle_alpha 90.00
_cell_angle_beta 90.00
_cell_angle_gamma 90.00
loop_
_atom_site_label
_atom_site_type_symbol
_atom_site_fract_x
_atom_site_fract_y
_atom_site_fract_z
Na1 Na 0.000 0.000 0.500
Y1 Y 0.500 0.500 0.500
Bi1 Bi 0.000 0.000 0.000
# offset from the most stable computed form = 0.000 eV per atom
# E_form = 0.363 eV/atom


Entry 6:
# NaYBi2 PBE relaxed
data_NaYBi2
_space_group_name_H-M_alt 'R -3 m'
_space_group_IT_number 166
_space_group_name_Hall '-R 3 2"'
_cell_length_a 4.4678
_cell_length_b 4.4678
_cell_length_c 23.4692
_cell_angle_alpha 90.00
_cell_angle_beta 90.00
_cell_angle_gamma 120.00
loop_
_atom_site_label
_atom_site_type_symbol
_atom_site_fract_x
_atom_site_fract_y
_atom_site_fract_z
Na1 Na 0.0000 0.0000 0.0000
Y1 Y 0.0000 0.0000 0.5000
Bi1 Bi 0.0000 0.0000 0.2438
# offset from the most stable computed form = 0.167 eV per atom
# E_form = -0.333 eV/atom


Entry 7:
# NaY3Bi PBE relaxed
data_NaY3Bi
_space_group_name_H-M_alt 'P m -3 m'
_space_group_IT_number 221
_space_group_name_Hall '-P 4 2 3'
_cell_length_a 5.498
_cell_length_b 5.498
_cell_length_c 5.498
_cell_angle_alpha 90.00
_cell_angle_beta 90.00
_cell_angle_gamma 90.00
loop_
_atom_site_label
_atom_site_type_symbol
_atom_site_fract_x
_atom_site_fract_y
_atom_site_fract_z
Na1 Na 0.000 0.000 0.000
Y1 Y 0.000 0.000 0.500
Bi1 Bi 0.500 0.500 0.500
# offset from the most stable computed form = 0.316 eV per atom
# E_form = 0.587 eV/atom


Entry 8:
# Na2ZnBi PBE relaxed
data_Na2ZnBi
_space_group_name_H-M_alt 'P 4/m m m'
_space_group_IT_number 123
_space_group_name_Hall '-P 4 2'
_cell_length_a 4.536
_cell_length_b 4.536
_cell_length_c 4.918
_cell_angle_alpha 90.00
_cell_angle_beta 90.00
_cell_angle_gamma 90.00
loop_
_atom_site_label
_atom_site_type_symbol
_atom_site_fract_x
_atom_site_fract_y
_atom_site_fract_z
Na1 Na 0.000 0.500 0.000
Zn1 Zn 0.000 0.000 0.500
Bi1 Bi 0.500 0.500 0.500
# offset from the most stable computed form = 0.067 eV per atom
# E_form = -0.100 eV/atom


Entry 9:
# Na4ZnBi2 PBE relaxed
data_Na4ZnBi2
_space_group_name_H-M_alt 'R -3 m'
_space_group_IT_number 166
_space_group_name_Hall '-R 3 2"'
_cell_length_a 5.5310
_cell_length_b 5.5310
_cell_length_c 27.7935
_cell_angle_alpha 90.00
_cell_angle_beta 90.00
_cell_angle_gamma 120.00
loop_
_atom_site_label
_atom_site_type_symbol
_atom_site_fract_x
_atom_site_fract_y
_atom_site_fract_z
Na1 Na 0.0000 0.0000 0.1043
Na2 Na 0.0000 0.0000 0.2882
Zn1 Zn 0.0000 0.0000 0.5000
Bi1 Bi 0.0000 0.0000 0.4065
# E_form = -0.267 eV/atom


Entry 10:
# Na2Zn2Bi PBE relaxed
data_Na2Zn2Bi
_space_group_name_H-M_alt 'I 4/m m m'
_space_group_IT_number 139
_space_group_name_Hall '-I 4 2'
_cell_length_a 4.276
_cell_length_b 4.276
_cell_length_c 13.566
_cell_angle_alpha 90.00
_cell_angle_beta 90.00
_cell_angle_gamma 90.00
loop_
_atom_site_label
_atom_site_type_symbol
_atom_site_fract_x
_atom_site_fract_y
_atom_site_fract_z
Na1 Na 0.000 0.500 0.250
Zn1 Zn 0.000 0.000 0.092
Bi1 Bi 0.000 0.000 0.500
# offset from the most stable computed form = 0.200 eV per atom
# E_form = 0.114 eV/atom


Entry 11:
# Na3Zn4Bi4 PBE relaxed
data_Na3Zn4Bi4
_space_group_name_H-M_alt 'I m m m'
_space_group_IT_number 71
_space_group_name_Hall '-I 2 2'
_cell_length_a 4.688
_cell_length_b 4.936
_cell_length_c 28.135
_cell_angle_alpha 90.00
_cell_angle_beta 90.00
_cell_angle_gamma 90.00
loop_
_atom_site_label
_atom_site_type_symbol
_atom_site_fract_x
_atom_site_fract_y
_atom_site_fract_z
Na1 Na 0.000 0.000 0.000
Na2 Na 0.000 0.500 0.367
Zn1 Zn 0.000 0.000 0.457
Zn2 Zn 0.000 0.500 0.189
Bi1 Bi 0.000 0.000 0.247
Bi2 Bi 0.000 0.500 0.094
# E_form = -0.078 eV/atom


Entry 12:
# NaZn2Bi PBE relaxed
data_NaZn2Bi
_space_group_name_H-M_alt 'P 4/n m m'
_space_group_IT_number 129
_cell_length_a 4.433
_cell_length_b 4.433
_cell_length_c 10.554
_cell_angle_alpha 90.00
_cell_angle_beta 90.00
_cell_angle_gamma 90.00
loop_
_space_group_symop_operation_xyz
'x,y,z'
'-x,-y,-z'
'-y+1/2,x,z'
'y+1/2,-x,-z'
'-x+1/2,-y+1/2,z'
'x+1/2,y+1/2,-z'
'y,-x+1/2,z'
'-y,x+1/2,-z'
'x+1/2,-y,-z'
'-x+1/2,y,z'
'-y,-x,-z'
'y,x,z'
'-x,y+1/2,-z'
'x,-y+1/2,z'
'y+1/2,x+1/2,-z'
'-y+1/2,-x+1/2,z'
loop_
_atom_site_label
_atom_site_type_symbol
_atom_site_fract_x
_atom_site_fract_y
_atom_site_fract_z
Na1 Na 0.250 0.250 0.241
Zn1 Zn 0.250 0.250 0.963
Zn2 Zn 0.250 0.750 0.500
Bi1 Bi 0.250 0.250 0.672
# E_form = 0.029 eV/atom


Entry 13:
# Na2ZnBi2 PBE relaxed
data_Na2ZnBi2
_space_group_name_H-M_alt 'I b a m'
_space_group_IT_number 72
_space_group_name_Hall '-I 2 2c'
_cell_length_a 6.873
_cell_length_b 13.459
_cell_length_c 6.252
_cell_angle_alpha 90.00
_cell_angle_beta 90.00
_cell_angle_gamma 90.00
loop_
_atom_site_label
_atom_site_type_symbol
_atom_site_fract_x
_atom_site_fract_y
_atom_site_fract_z
Na1 Na 0.154 0.105 0.000
Zn1 Zn 0.000 0.500 0.250
Bi1 Bi 0.168 0.347 0.000
# offset from the most stable computed form = 0.081 eV per atom
# E_form = -0.100 eV/atom


Entry 14:
# NaZn2Bi2 PBE relaxed
data_NaZn2Bi2
_space_group_name_H-M_alt 'P 4/m b m'
_space_group_IT_number 127
_space_group_name_Hall '-P 4 2ab'
_cell_length_a 8.162
_cell_length_b 8.162
_cell_length_c 3.745
_cell_angle_alpha 90.00
_cell_angle_beta 90.00
_cell_angle_gamma 90.00
loop_
_atom_site_label
_atom_site_type_symbol
_atom_site_fract_x
_atom_site_fract_y
_atom_site_fract_z
Na1 Na 0.000 0.000 0.000
Zn1 Zn 0.115 0.385 0.000
Bi1 Bi 0.182 0.682 0.500
# offset from the most stable computed form = 0.085 eV per atom
# E_form = 0.000 eV/atom


Entry 15:
# Na2ZnBi PBE relaxed
data_Na2ZnBi
_space_group_name_H-M_alt 'F m -3 m'
_space_group_IT_number 225
_space_group_name_Hall '-F 4 2 3'
_cell_length_a 7.448
_cell_length_b 7.448
_cell_length_c 7.448
_cell_angle_alpha 90.00
_cell_angle_beta 90.00
_cell_angle_gamma 90.00
loop_
_atom_site_label
_atom_site_type_symbol
_atom_site_fract_x
_atom_site_fract_y
_atom_site_fract_z
Na1 Na 0.250 0.250 0.250
Zn1 Zn 0.000 0.000 0.000
Bi1 Bi 0.000 0.000 0.500
# offset from the most stable computed form = 0.075 eV per atom
# E_form = -0.092 eV/atom


Entry 16:
# Na3ZnBi2 PBE relaxed
data_Na3ZnBi2
_space_group_name_H-M_alt 'I b a m'
_space_group_IT_number 72
_space_group_name_Hall '-I 2 2c'
_cell_length_a 6.481
_cell_length_b 16.578
_cell_length_c 6.526
_cell_angle_alpha 90.00
_cell_angle_beta 90.00
_cell_angle_gamma 90.00
loop_
_atom_site_label
_atom_site_type_symbol
_atom_site_fract_x
_atom_site_fract_y
_atom_site_fract_z
Na1 Na 0.000 0.000 0.250
Na2 Na 0.213 0.180 0.000
Zn1 Zn 0.000 0.500 0.250
Bi1 Bi 0.201 0.381 0.000
# E_form = -0.225 eV/atom


Entry 17:
# Na8ZnBi2 PBE relaxed
data_Na8ZnBi2
_space_group_name_H-M_alt 'I m m m'
_space_group_IT_number 71
_space_group_name_Hall '-I 2 2'
_cell_length_a 5.275
_cell_length_b 8.954
_cell_length_c 14.174
_cell_angle_alpha 90.00
_cell_angle_beta 90.00
_cell_angle_gamma 90.00
loop_
_atom_site_label
_atom_site_type_symbol
_atom_site_fract_x
_atom_site_fract_y
_atom_site_fract_z
Na1 Na 0.000 0.000 0.145
Na2 Na 0.000 0.212 0.340
Na3 Na 0.000 0.315 0.000
Zn1 Zn 0.000 0.500 0.500
Bi1 Bi 0.000 0.500 0.199
# E_form = -0.201 eV/atom


Entry 18:
# Na3ZnBi PBE relaxed
data_Na3ZnBi
_space_group_name_H-M_alt 'P m -3 m'
_space_group_IT_number 221
_space_group_name_Hall '-P 4 2 3'
_cell_length_a 6.039
_cell_length_b 6.039
_cell_length_c 6.039
_cell_angle_alpha 90.00
_cell_angle_beta 90.00
_cell_angle_gamma 90.00
loop_
_atom_site_label
_atom_site_type_symbol
_atom_site_fract_x
_atom_site_fract_y
_atom_site_fract_z
Na1 Na 0.000 0.000 0.500
Zn1 Zn 0.500 0.500 0.500
Bi1 Bi 0.000 0.000 0.000
# offset from the most stable computed form = 0.033 eV per atom
# E_form = 0.000 eV/atom


Entry 19:
# NaZn2Bi2 PBE relaxed
data_NaZn2Bi2
_space_group_name_H-M_alt 'I 4/m m m'
_space_group_IT_number 139
_space_group_name_Hall '-I 4 2'
_cell_length_a 4.152
_cell_length_b 4.152
_cell_length_c 15.956
_cell_angle_alpha 90.00
_cell_angle_beta 90.00
_cell_angle_gamma 90.00
loop_
_atom_site_label
_atom_site_type_symbol
_atom_site_fract_x
_atom_site_fract_y
_atom_site_fract_z
Na1 Na 0.000 0.000 0.000
Zn1 Zn 0.000 0.500 0.250
Bi1 Bi 0.000 0.000 0.372
# offset from the most stable computed form = 0.000 eV per atom
# E_form = -0.085 eV/atom


Entry 20:
# Na3ZnBi PBE relaxed
data_Na3ZnBi
_space_group_name_H-M_alt 'P m -3 m'
_space_group_IT_number 221
_space_group_name_Hall '-P 4 2 3'
_cell_length_a 5.424
_cell_length_b 5.424
_cell_length_c 5.424
_cell_angle_alpha 90.00
_cell_angle_beta 90.00
_cell_angle_gamma 90.00
loop_
_atom_site_label
_atom_site_type_symbol
_atom_site_fract_x
_atom_site_fract_y
_atom_site_fract_z
Na1 Na 0.000 0.000 0.500
Zn1 Zn 0.000 0.000 0.000
Bi1 Bi 0.500 0.500 0.500
# offset from the most stable computed form = 0.174 eV per atom
# E_form = 0.140 eV/atom


Entry 21:
# Na2ZnBi PBE relaxed
data_Na2ZnBi
_space_group_name_H-M_alt 'R -3 m'
_space_group_IT_number 166
_space_group_name_Hall '-R 3 2"'
_cell_length_a 3.4783
_cell_length_b 3.4783
_cell_length_c 33.1293
_cell_angle_alpha 90.00
_cell_angle_beta 90.00
_cell_angle_gamma 120.00
loop_
_atom_site_label
_atom_site_type_symbol
_atom_site_fract_x
_atom_site_fract_y
_atom_site_fract_z
Na1 Na 0.0000 0.0000 0.0942
Zn1 Zn 0.0000 0.0000 0.5000
Bi1 Bi 0.0000 0.0000 0.0000
# offset from the most stable computed form = 0.259 eV per atom
# E_form = 0.092 eV/atom


Entry 22:
# Na3ZnBi PBE relaxed
data_Na3ZnBi
_space_group_name_H-M_alt 'I m a 2'
_space_group_IT_number 46
_space_group_name_Hall 'I 2 -2a'
_cell_length_a 11.201
_cell_length_b 7.782
_cell_length_c 7.183
_cell_angle_alpha 90.00
_cell_angle_beta 90.00
_cell_angle_gamma 90.00
loop_
_atom_site_label
_atom_site_type_symbol
_atom_site_fract_x
_atom_site_fract_y
_atom_site_fract_z
Na1 Na 0.018 0.249 0.000
Na2 Na 0.250 0.057 0.747
Zn1 Zn 0.250 0.749 0.498
Bi1 Bi 0.250 0.021 0.249
# offset from the most stable computed form = 0.000 eV per atom
# E_form = -0.034 eV/atom


Entry 23:
# NaZn2Bi PBE relaxed
data_NaZn2Bi
_space_group_name_H-M_alt 'I 41/a m d'
_space_group_IT_number 141
_cell_length_a 4.983
_cell_length_b 4.983
_cell_length_c 20.470
_cell_angle_alpha 90.00
_cell_angle_beta 90.00
_cell_angle_gamma 90.00
loop_
_space_group_symop_operation_xyz
'x,y,z'
'-x,-y,-z'
'-y+1/4,x+3/4,z+1/4'
'y+1/4,-x+3/4,-z+1/4'
'-x+1/2,-y,z+1/2'
'x+1/2,y,-z+1/2'
'y+1/4,-x+1/4,z+3/4'
'-y+1/4,x+1/4,-z+3/4'
'x,-y,-z'
'-x,y,z'
'-y+1/4,-x+1/4,-z+3/4'
'y+1/4,x+1/4,z+3/4'
'-x+1/2,y,-z+1/2'
'x+1/2,-y,z+1/2'
'y+1/4,x+3/4,-z+1/4'
'-y+1/4,-x+3/4,z+1/4'
'x+1/2,y+1/2,z+1/2'
'-x+1/2,-y+1/2,-z+1/2'
'-y+3/4,x+1/4,z+3/4'
'y+3/4,-x+1/4,-z+3/4'
'-x,-y+1/2,z'
'x,y+1/2,-z'
'y+3/4,-x+3/4,z+1/4'
'-y+3/4,x+3/4,-z+1/4'
'x+1/2,-y+1/2,-z+1/2'
'-x+1/2,y+1/2,z+1/2'
'-y+3/4,-x+3/4,-z+1/4'
'y+3/4,x+3/4,z+1/4'
'-x,y+1/2,-z'
'x,-y+1/2,z'
'y+3/4,x+1/4,-z+3/4'
'-y+3/4,-x+1/4,z+3/4'
loop_
_atom_site_label
_atom_site_type_symbol
_atom_site_fract_x
_atom_site_fract_y
_atom_site_fract_z
Na1 Na 0.000 0.250 0.375
Zn1 Zn 0.000 0.000 0.000
Bi1 Bi 0.000 0.250 0.875
# E_form = 0.114 eV/atom


Entry 24:
# Na2ZnBi PBE relaxed
data_Na2ZnBi
_space_group_name_H-M_alt 'I -4 2 d'
_space_group_IT_number 122
_space_group_name_Hall 'I -4 2bw'
_cell_length_a 8.705
_cell_length_b 8.705
_cell_length_c 5.984
_cell_angle_alpha 90.00
_cell_angle_beta 90.00
_cell_angle_gamma 90.00
loop_
_atom_site_label
_atom_site_type_symbol
_atom_site_fract_x
_atom_site_fract_y
_atom_site_fract_z
Na1 Na 0.230 0.250 0.125
Zn1 Zn 0.000 0.000 0.000
Bi1 Bi 0.000 0.000 0.500
# offset from the most stable computed form = 0.168 eV per atom
# E_form = 0.001 eV/atom


Entry 25:
# Na2Zn2Bi PBE relaxed
data_Na2Zn2Bi
_space_group_name_H-M_alt 'P 4/m b m'
_space_group_IT_number 127
_space_group_name_Hall '-P 4 2ab'
_cell_length_a 8.458
_cell_length_b 8.458
_cell_length_c 3.577
_cell_angle_alpha 90.00
_cell_angle_beta 90.00
_cell_angle_gamma 90.00
loop_
_atom_site_label
_atom_site_type_symbol
_atom_site_fract_x
_atom_site_fract_y
_atom_site_fract_z
Na1 Na 0.162 0.338 0.000
Zn1 Zn 0.130 0.630 0.500
Bi1 Bi 0.000 0.000 0.000
# offset from the most stable computed form = 0.195 eV per atom
# E_form = 0.109 eV/atom


Entry 26:
# Na2ZnBi2 PBE relaxed
data_Na2ZnBi2
_space_group_name_H-M_alt 'I 4/m m m'
_space_group_IT_number 139
_space_group_name_Hall '-I 4 2'
_cell_length_a 4.188
_cell_length_b 4.188
_cell_length_c 16.487
_cell_angle_alpha 90.00
_cell_angle_beta 90.00
_cell_angle_gamma 90.00
loop_
_atom_site_label
_atom_site_type_symbol
_atom_site_fract_x
_atom_site_fract_y
_atom_site_fract_z
Na1 Na 0.000 0.500 0.250
Zn1 Zn 0.000 0.000 0.000
Bi1 Bi 0.000 0.000 0.408
# offset from the most stable computed form = 0.363 eV per atom
# E_form = 0.182 eV/atom